Material: Ti4Fe2O
Method: DFT, GGA+U
State: relaxed

The calculation puts the theoretical density at 5.39 Mg/m³. The energy above the most stable polymorph in this dataset is 22 meV/atom.

The structure belongs to space group F-43m (No. 216); the cell edges are 11.634, 11.634 and 11.634 Å and the angles 90.00°, 90.00° and 90.00°. The inequivalent atoms are Ti at (0.000, 0.000, 0.180), Ti at (0.070, 0.250, 0.250), Ti at (0.165, 0.165, 0.835), Fe at (0.084, 0.084, 0.416), Fe at (0.124, 0.124, 0.624) and O at (0.125, 0.125, 0.125).